# Ag2AsSe (SCAN, PBEsol geometry)
# Total DFT energy (no corrections) in eV per atom: -25.5756
# Mass density in Mg/m³: 8.3
# DOS at the Fermi energy in states/eV per cell: 1.44
data_Ag2AsSe
_cell_length_a 2.800
_cell_length_b 2.800
_cell_length_c 9.476
_cell_angle_alpha 90.00
_cell_angle_beta 90.00
_cell_angle_gamma 90.00
_space_group_name_H-M_alt 'P 4 m m'
_space_group_IT_number 99
_space_group_name_Hall 'P 4 -2'
loop_
_atom_site_label
_atom_site_type_symbol
_atom_site_fract_x
_atom_site_fract_y
_atom_site_fract_z
Ag1 Ag 0.000 0.000 0.000
Ag2 Ag 0.500 0.500 0.224
As1 As 0.000 0.000 0.446
Se1 Se 0.500 0.500 0.767